No. 1
This record from the Alexandria database describes a geometry-optimized NdErTaN3 structure. The functional is PBE-GGA.

Unit cell a=6.572 b=3.347 c=9.478 alpha=90.00 beta=95.64 gamma=90.00
Sites, in units of the cell vectors:
Nd (0.203, 0.250, 0.242)
Nd (0.797, 0.750, 0.758)
Er (0.341, 0.750, 0.885)
Er (0.659, 0.250, 0.115)
Ta (0.143, 0.250, 0.580)
Ta (0.857, 0.750, 0.420)
N (0.115, 0.250, 0.787)
N (0.198, 0.750, 0.466)
N (0.399, 0.750, 0.122)
N (0.601, 0.250, 0.878)
N (0.802, 0.250, 0.534)
N (0.885, 0.750, 0.213)

Size of the total moment   0.0000 μB/atom
E_tot   -8.802 eV/atom
ρ   8.55 g cm⁻³
Uncorrected formation energy   -1109 meV/atom



No. 2
This record from the Alexandria database describes a geometry-optimized NdEr2TaN4 structure. The functional is PBE-GGA.

Unit cell a=6.207 b=6.207 c=12.040 alpha=90.00 beta=90.00 gamma=148.27
Sites, in units of the cell vectors:
Nd (0.100, 0.900, 0.750)
Nd (0.900, 0.100, 0.250)
Er (0.371, 0.629, 0.534)
Er (0.371, 0.629, 0.966)
Er (0.629, 0.371, 0.034)
Er (0.629, 0.371, 0.466)
Ta (0.161, 0.839, 0.250)
Ta (0.839, 0.161, 0.750)
N (0.000, 0.000, 0.000)
N (0.000, 0.000, 0.500)
N (0.259, 0.741, 0.120)
N (0.259, 0.741, 0.380)
N (0.441, 0.559, 0.750)
N (0.559, 0.441, 0.250)
N (0.741, 0.259, 0.620)
N (0.741, 0.259, 0.880)

Size of the total moment   0.0000 μB/atom
E_tot   -8.699 eV/atom
ρ   9.74 g cm⁻³
Uncorrected formation energy   -1318 meV/atom



No. 3
This record from the Alexandria database describes a geometry-optimized TbNdErN3 structure. The functional is PBE-GGA.

Unit cell a=6.040 b=3.516 c=9.084 alpha=90.00 beta=101.80 gamma=90.00
Sites, in units of the cell vectors:
Tb (0.231, 0.250, 0.455)
Tb (0.769, 0.750, 0.545)
Nd (0.347, 0.750, 0.803)
Nd (0.653, 0.250, 0.197)
Er (0.148, 0.750, 0.140)
Er (0.852, 0.250, 0.860)
N (0.036, 0.250, 0.656)
N (0.244, 0.250, 0.010)
N (0.458, 0.750, 0.331)
N (0.542, 0.250, 0.669)
N (0.756, 0.750, 0.990)
N (0.964, 0.750, 0.344)

Size of the total moment   0.0000 μB/atom
E_tot   -7.917 eV/atom
ρ   9.01 g cm⁻³
Uncorrected formation energy   -1427 meV/atom



No. 4
This record from the Alexandria database describes a geometry-optimized NdEr2TcN4 structure. The functional is PBE-GGA.

Unit cell a=6.074 b=6.074 c=11.517 alpha=90.00 beta=90.00 gamma=147.03
Sites, in units of the cell vectors:
Nd (0.122, 0.878, 0.750)
Nd (0.878, 0.122, 0.250)
Er (0.369, 0.631, 0.540)
Er (0.369, 0.631, 0.960)
Er (0.631, 0.369, 0.040)
Er (0.631, 0.369, 0.460)
Tc (0.141, 0.859, 0.250)
Tc (0.859, 0.141, 0.750)
N (0.000, 0.000, 0.000)
N (0.000, 0.000, 0.500)
N (0.263, 0.737, 0.126)
N (0.263, 0.737, 0.374)
N (0.441, 0.559, 0.750)
N (0.559, 0.441, 0.250)
N (0.737, 0.263, 0.626)
N (0.737, 0.263, 0.874)

Size of the total moment   0.0000 μB/atom
E_tot   -8.313 eV/atom
ρ   9.09 g cm⁻³
Uncorrected formation energy   -1118 meV/atom



Question: What is the uncorrected formation energy in the fourth record?
Answer: -1118 meV/atom



Question: What is the size of the total moment in the first record?
Answer: 0.0000 μB/atom



Question: Among the records above, which one has the highest ρ?
Answer: NdEr2TaN4



Question: Which formula does entry 4 have?
Answer: NdEr2TcN4